# 1
VASP calculation (PBE-GGA) on a relaxed structure of SrTlRu2.

extended XYZ file:
```
8
Lattice="4.482 0.000 0.000 0.000 4.482 0.000 0.000 0.000 8.254" Properties=species:S:1:pos:R:3 pbc="T T T"
Sr 0.000 0.000 0.000
Sr 2.241 2.241 4.127
Tl 0.000 2.241 6.191
Tl 2.241 0.000 2.064
Ru 0.000 0.000 4.127
Ru 0.000 2.241 2.064
Ru 2.241 0.000 6.191
Ru 2.241 2.241 0.000
```

- symmetry = No. 119
- energy relative to the lowest polymorph listed for this composition (meV/atom) = 398
- total magnetization (μB/f.u.) = 2.7
- formation enthalpy at 0 K (eV/atom) = 0.706
- D(E_F) (states/eV per cell) = 7.993

# 2
VASP calculation (PBE-GGA) on a relaxed structure of SrTlZn2Ru.

extended XYZ file:
```
5
Lattice="4.921 0.000 0.000 0.000 4.921 0.000 0.000 0.000 5.189" Properties=species:S:1:pos:R:3 pbc="T T T"
Sr 0.000 0.000 0.000
Tl 2.460 2.460 0.000
Zn 0.000 2.460 2.594
Zn 2.460 0.000 2.594
Ru 2.460 2.460 2.594
```

- symmetry = No. 123
- total magnetization (μB/f.u.) = 0.0
- formation enthalpy at 0 K (eV/atom) = -0.052
- D(E_F) (states/eV per cell) = 1.385